# NaTmPuF6 (GGA-PBE, relaxed)
# - M_tot: 11.921 μB/cell
# - Mass density: 6.145 g cm⁻³
# - VASP energy: -0.255 hartree per atom
data_NaTmPuF6
_chemical_formula_sum 'Na2 Tm2 Pu2 F12'
_cell_length_a 6.1049
_cell_length_b 6.1049
_cell_length_c 9.2087
_cell_angle_alpha 90.00
_cell_angle_beta 90.00
_cell_angle_gamma 120.00
_symmetry_space_group_name_H-M 'P -3 1 c'
_symmetry_Int_Tables_number 163
_symmetry_space_group_name_Hall '-P 3 2c'
loop_
_atom_site_label
_atom_site_fract_x
_atom_site_fract_y
_atom_site_fract_z
Na1 0.3333 0.6667 0.2500
Tm1 0.3333 0.6667 0.7500
Pu1 0.0000 0.0000 0.0000
F1 0.0278 0.3685 0.6279

# Na2LiCuSn (GGA-PBE, relaxed)
# - M_tot: 0.000 μB/cell
# - Mass density: 2.770 g cm⁻³
# - VASP energy: -0.090 hartree per atom
data_Na2LiCuSn
_chemical_formula_sum 'Na2 Li1 Cu1 Sn1'
_cell_length_a 5.381
_cell_length_b 5.381
_cell_length_c 4.868
_cell_angle_alpha 90.00
_cell_angle_beta 90.00
_cell_angle_gamma 90.00
_symmetry_space_group_name_H-M 'P 4/m m m'
_symmetry_Int_Tables_number 123
_symmetry_space_group_name_Hall '-P 4 2'
loop_
_atom_site_label
_atom_site_fract_x
_atom_site_fract_y
_atom_site_fract_z
Na1 0.000 0.500 0.000
Li1 0.000 0.000 0.500
Cu1 0.500 0.500 0.000
Sn1 0.500 0.500 0.500

# TbSmDyZn (GGA-PBE, relaxed)
# - M_tot: 0.005 μB/cell
# - Mass density: 8.147 g cm⁻³
# - Distance to the lowest polymorph of the same formula: 80 kJ/mol of formula units
# - VASP energy: -0.138 hartree per atom
data_TbSmDyZn
_chemical_formula_sum 'Tb4 Sm4 Dy4 Zn4'
_cell_length_a 7.594
_cell_length_b 7.594
_cell_length_c 7.594
_cell_angle_alpha 90.00
_cell_angle_beta 90.00
_cell_angle_gamma 90.00
_symmetry_space_group_name_H-M 'F -4 3 m'
_symmetry_Int_Tables_number 216
_symmetry_space_group_name_Hall 'F -4 2 3'
loop_
_atom_site_label
_atom_site_fract_x
_atom_site_fract_y
_atom_site_fract_z
Tb1 0.000 0.000 0.000
Sm1 0.000 0.000 0.500
Dy1 0.250 0.250 0.750
Zn1 0.250 0.250 0.250

# La2SiPb (GGA-PBE, relaxed)
# - M_tot: 0.000 μB/cell
# - Mass density: 7.545 g cm⁻³
# - Distance to the lowest polymorph of the same formula: 17 kJ/mol of formula units
# - VASP energy: -0.193 hartree per atom
data_La2SiPb
_chemical_formula_sum 'La2 Si1 Pb1'
_cell_length_a 3.677
_cell_length_b 4.298
_cell_length_c 7.145
_cell_angle_alpha 90.00
_cell_angle_beta 90.00
_cell_angle_gamma 90.00
_symmetry_space_group_name_H-M 'P m m m'
_symmetry_Int_Tables_number 47
_symmetry_space_group_name_Hall '-P 2 2'
loop_
_atom_site_label
_atom_site_fract_x
_atom_site_fract_y
_atom_site_fract_z
La1 0.000 0.000 0.225
Si1 0.500 0.500 0.000
Pb1 0.500 0.500 0.500

# Na2PrErSe4 (GGA-PBE, relaxed)
# - M_tot: 0.000 μB/cell
# - Mass density: 5.148 g cm⁻³
# - VASP energy: -0.181 hartree per atom
data_Na2PrErSe4
_chemical_formula_sum 'Na2 Pr1 Er1 Se4'
_cell_length_a 7.306
_cell_length_b 4.216
_cell_length_c 7.426
_cell_angle_alpha 90.00
_cell_angle_beta 109.13
_cell_angle_gamma 90.00
_symmetry_space_group_name_H-M 'P 1 2/m 1'
_symmetry_Int_Tables_number 10
_symmetry_space_group_name_Hall '-P 2y'
loop_
_atom_site_label
_atom_site_fract_x
_atom_site_fract_y
_atom_site_fract_z
Na1 0.000 0.000 0.000
Na2 0.500 0.500 0.000
Pr1 0.000 0.500 0.500
Er1 0.500 0.000 0.500
Se1 0.256 0.000 0.735
Se2 0.267 0.500 0.270

# AlIn2Si (GGA-PBE, relaxed)
# - M_tot: 0.000 μB/cell
# - Mass density: 5.465 g cm⁻³
# - VASP energy: -0.126 hartree per atom
data_AlIn2Si
_chemical_formula_sum 'Al2 In4 Si2'
_cell_length_a 11.995
_cell_length_b 2.974
_cell_length_c 5.307
_cell_angle_alpha 90.00
_cell_angle_beta 113.97
_cell_angle_gamma 90.00
_symmetry_space_group_name_H-M 'C 1 m 1'
_symmetry_Int_Tables_number 8
_symmetry_space_group_name_Hall 'C -2y'
loop_
_atom_site_label
_atom_site_fract_x
_atom_site_fract_y
_atom_site_fract_z
Al1 0.000 0.000 0.000
In1 0.054 0.500 0.549
In2 0.261 0.500 0.237
Si1 0.303 0.000 0.773

# YAgSn (GGA-PBE, relaxed)
# - M_tot: 0.000 μB/cell
# - Mass density: 7.231 g cm⁻³
# - VASP energy: -0.182 hartree per atom
data_YAgSn
_chemical_formula_sum 'Y2 Ag2 Sn2'
_cell_length_a 4.609
_cell_length_b 6.016
_cell_length_c 6.166
_cell_angle_alpha 74.31
_cell_angle_beta 68.07
_cell_angle_gamma 67.52
_symmetry_space_group_name_H-M 'P -1'
_symmetry_Int_Tables_number 2
_symmetry_space_group_name_Hall '-P 1'
loop_
_atom_site_label
_atom_site_fract_x
_atom_site_fract_y
_atom_site_fract_z
Y1 0.041 0.206 0.210
Ag1 0.344 0.220 0.591
Sn1 0.332 0.643 0.194

# ZnNiMo2Pd (GGA-PBE, relaxed)
# - M_tot: 0.191 μB/cell
# - Mass density: 7.989 g cm⁻³
# - VASP energy: -0.196 hartree per atom
data_ZnNiMo2Pd
_chemical_formula_sum 'Zn1 Ni1 Mo2 Pd1'
_cell_length_a 4.574
_cell_length_b 4.574
_cell_length_c 4.197
_cell_angle_alpha 90.00
_cell_angle_beta 90.00
_cell_angle_gamma 90.00
_symmetry_space_group_name_H-M 'P 4/m m m'
_symmetry_Int_Tables_number 123
_symmetry_space_group_name_Hall '-P 4 2'
loop_
_atom_site_label
_atom_site_fract_x
_atom_site_fract_y
_atom_site_fract_z
Zn1 0.000 0.000 0.000
Ni1 0.000 0.000 0.500
Mo1 0.000 0.500 0.000
Pd1 0.500 0.500 0.500

# Li2ZrCu (GGA-PBE, relaxed)
# - M_tot: 0.000 μB/cell
# - Mass density: 4.128 g cm⁻³
# - Distance to the lowest polymorph of the same formula: 40 kJ/mol of formula units
# - VASP energy: -0.145 hartree per atom
data_Li2ZrCu
_chemical_formula_sum 'Li2 Zr1 Cu1'
_cell_length_a 2.809
_cell_length_b 2.809
_cell_length_c 8.596
_cell_angle_alpha 90.00
_cell_angle_beta 90.00
_cell_angle_gamma 90.00
_symmetry_space_group_name_H-M 'P 4/m m m'
_symmetry_Int_Tables_number 123
_symmetry_space_group_name_Hall '-P 4 2'
loop_
_atom_site_label
_atom_site_fract_x
_atom_site_fract_y
_atom_site_fract_z
Li1 0.000 0.000 0.201
Zr1 0.500 0.500 0.500
Cu1 0.500 0.500 0.000

# Cs2LiZr (GGA-PBE, relaxed)
# - M_tot: 12.839 μB/cell
# - Mass density: 2.896 g cm⁻³
# - VASP energy: -0.070 hartree per atom
data_Cs2LiZr
_chemical_formula_sum 'Cs8 Li4 Zr4'
_cell_length_a 9.416
_cell_length_b 9.416
_cell_length_c 9.416
_cell_angle_alpha 90.00
_cell_angle_beta 90.00
_cell_angle_gamma 90.00
_symmetry_space_group_name_H-M 'F m -3 m'
_symmetry_Int_Tables_number 225
_symmetry_space_group_name_Hall '-F 4 2 3'
loop_
_atom_site_label
_atom_site_fract_x
_atom_site_fract_y
_atom_site_fract_z
Cs1 0.250 0.250 0.250
Li1 0.000 0.000 0.000
Zr1 0.000 0.000 0.500

# LaPr2Y3Bi6 (GGA-PBE, relaxed)
# - M_tot: 0.000 μB/cell
# - Mass density: 7.940 g cm⁻³
# - VASP energy: -0.210 hartree per atom
data_LaPr2Y3Bi6
_chemical_formula_sum 'La2 Pr4 Y6 Bi12'
_cell_length_a 7.933
_cell_length_b 13.738
_cell_length_c 7.905
_cell_angle_alpha 90.00
_cell_angle_beta 109.52
_cell_angle_gamma 90.00
_symmetry_space_group_name_H-M 'C 1 2/m 1'
_symmetry_Int_Tables_number 12
_symmetry_space_group_name_Hall '-C 2y'
loop_
_atom_site_label
_atom_site_fract_x
_atom_site_fract_y
_atom_site_fract_z
La1 0.000 0.000 0.000
Pr1 0.000 0.333 0.000
Y1 0.000 0.166 0.500
Y2 0.000 0.500 0.500
Bi1 0.246 0.333 0.739
Bi2 0.248 0.000 0.739

# Cd2Cl (GGA-PBE, relaxed)
# - M_tot: 0.000 μB/cell
# - Mass density: 5.538 g cm⁻³
# - VASP energy: -0.059 hartree per atom
data_Cd2Cl
_chemical_formula_sum 'Cd2 Cl1'
_cell_length_a 3.9731
_cell_length_b 3.9731
_cell_length_c 5.7092
_cell_angle_alpha 90.00
_cell_angle_beta 90.00
_cell_angle_gamma 120.00
_symmetry_space_group_name_H-M 'P -3 m 1'
_symmetry_Int_Tables_number 164
_symmetry_space_group_name_Hall '-P 3 2"'
loop_
_atom_site_label
_atom_site_fract_x
_atom_site_fract_y
_atom_site_fract_z
Cd1 0.3333 0.6667 0.1565
Cl1 0.0000 0.0000 0.5000

Repeat the ninth record exactly.
# Li2ZrCu (GGA-PBE, relaxed)
# - M_tot: 0.000 μB/cell
# - Mass density: 4.128 g cm⁻³
# - Distance to the lowest polymorph of the same formula: 40 kJ/mol of formula units
# - VASP energy: -0.145 hartree per atom
data_Li2ZrCu
_chemical_formula_sum 'Li2 Zr1 Cu1'
_cell_length_a 2.809
_cell_length_b 2.809
_cell_length_c 8.596
_cell_angle_alpha 90.00
_cell_angle_beta 90.00
_cell_angle_gamma 90.00
_symmetry_space_group_name_H-M 'P 4/m m m'
_symmetry_Int_Tables_number 123
_symmetry_space_group_name_Hall '-P 4 2'
loop_
_atom_site_label
_atom_site_fract_x
_atom_site_fract_y
_atom_site_fract_z
Li1 0.000 0.000 0.201
Zr1 0.500 0.500 0.500
Cu1 0.500 0.500 0.000